No. 1
Entry from Alexandria via LeMat-Bulk: crystalline Rb2Ba3NpO6 at its relaxed geometry (GGA-PBE).

Geometry as extended XYZ:
```
12
Lattice="3.445 -5.998 0.000 3.445 5.998 0.000 -2.276 0.000 6.094" Properties=species:S:1:pos:R:3 pbc="T T T"
Rb 3.445 3.987 0.000
Rb 3.445 -3.987 0.000
Ba -1.138 0.000 3.047
Ba 2.307 1.927 3.047
Ba 2.307 -1.927 3.047
Np 3.445 0.000 0.000
O 0.277 1.534 4.720
O 1.597 0.000 1.464
O 0.277 -1.534 4.720
O 4.337 1.534 1.374
O 3.017 0.000 4.630
O 4.337 -1.534 1.374
```

Properties
The calculation puts the total energy at -6.478 eV per atom. Its total magnetic moment is 3.0 μB/cell. For the formation energy from raw total energies, the calculation gives -2279 meV per atom.


No. 2
Entry from Alexandria via LeMat-Bulk: crystalline RbBaNpO6 at its relaxed geometry (GGA-PBE).

Geometry as extended XYZ:
```
9
Lattice="6.416 0.000 0.000 -3.208 5.556 0.000 0.000 0.000 5.118" Properties=species:S:1:pos:R:3 pbc="T T T"
Rb 0.000 0.000 0.000
Ba 3.208 1.852 2.554
Np 0.000 3.704 5.110
O -0.895 2.353 1.108
O -1.618 3.612 3.993
O 0.889 2.349 3.993
O -0.722 5.155 1.108
O 1.617 3.604 1.108
O 0.729 5.151 3.993
```

Properties
The calculation puts the total energy at -7.083 eV per atom. Its total magnetic moment is 2.1 μB/cell. For the formation energy from raw total energies, the calculation gives -2018 meV per atom.


No. 3
Entry from Alexandria via LeMat-Bulk: crystalline BaNpRe2O8 at its relaxed geometry (GGA-PBE).

Geometry as extended XYZ:
```
12
Lattice="5.999 0.000 0.000 -3.000 5.195 0.000 0.000 0.000 7.588" Properties=species:S:1:pos:R:3 pbc="T T T"
Ba 0.000 0.000 0.000
Np 0.000 0.000 3.794
Re 0.000 3.464 5.890
Re 3.000 1.732 1.698
O -0.056 1.711 5.277
O -1.490 4.389 5.277
O 1.454 0.904 2.312
O 0.000 3.464 0.097
O 3.000 1.732 7.491
O 1.546 4.291 5.277
O 4.489 0.807 2.312
O 3.056 3.485 2.312
```

Properties
The calculation puts the total energy at -8.562 eV per atom. Its total magnetic moment is 7.1 μB/cell. For the formation energy from raw total energies, the calculation gives -1943 meV per atom.


No. 4
Entry from Alexandria via LeMat-Bulk: crystalline BaNpRuO6 at its relaxed geometry (GGA-PBE).

Geometry as extended XYZ:
```
9
Lattice="5.434 0.000 0.000 -2.717 4.706 0.000 0.000 0.000 5.892" Properties=species:S:1:pos:R:3 pbc="T T T"
Ba 0.000 0.000 0.000
Np 2.717 1.569 2.946
Ru 0.000 3.137 2.946
O -0.972 1.768 4.071
O -1.672 2.980 1.821
O 0.972 1.768 1.821
O -0.700 4.664 4.071
O 1.672 2.980 4.071
O 0.700 4.664 1.821
```

Properties
The calculation puts the total energy at -8.232 eV per atom. Its total magnetic moment is 2.8 μB/cell. For the formation energy from raw total energies, the calculation gives -2244 meV per atom.


No. 5
Entry from Alexandria via LeMat-Bulk: crystalline Ba2NpRu3O12 at its relaxed geometry (GGA-PBE).

Geometry as extended XYZ:
```
18
Lattice="3.580 2.067 6.129 -3.580 2.067 6.129 0.000 -4.134 6.129" Properties=species:S:1:pos:R:3 pbc="T T T"
Ba 0.000 0.000 2.028
Ba 0.000 0.000 16.360
Np 0.000 0.000 9.194
Ru -1.790 -1.034 6.129
Ru -1.790 1.034 12.259
Ru 0.000 2.067 6.129
O -1.531 -0.884 8.127
O 0.000 -1.667 5.847
O -1.443 0.833 5.847
O -1.443 -0.833 12.541
O 0.000 -1.768 10.261
O -1.531 0.884 10.261
O 1.531 -0.884 8.127
O 0.000 1.768 8.127
O 1.443 0.833 5.847
O 1.443 -0.833 12.541
O 0.000 1.667 12.541
O 1.531 0.884 10.261
```

Properties
The calculation puts the total energy at -7.534 eV per atom. Its total magnetic moment is 2.1 μB/cell. For the formation energy from raw total energies, the calculation gives -1750 meV per atom.


No. 6
Entry from Alexandria via LeMat-Bulk: crystalline Ba2Np3RuO12 at its relaxed geometry (GGA-PBE).

Geometry as extended XYZ:
```
18
Lattice="3.960 2.286 5.931 -3.960 2.286 5.931 0.000 -4.572 5.931" Properties=species:S:1:pos:R:3 pbc="T T T"
Ba 0.000 0.000 3.030
Ba 0.000 0.000 14.763
Np -1.980 -1.143 5.931
Np -1.980 1.143 11.862
Np 0.000 2.286 5.931
Ru 0.000 0.000 8.896
O 0.000 -1.688 5.240
O -1.462 0.844 5.240
O -1.470 -0.849 7.827
O 0.000 -1.698 9.965
O -1.470 0.849 9.965
O -1.462 -0.844 12.553
O 1.462 0.844 5.240
O 1.470 -0.849 7.827
O 0.000 1.698 7.827
O 1.470 0.849 9.965
O 1.462 -0.844 12.553
O 0.000 1.688 12.553
```

Properties
The calculation puts the total energy at -8.730 eV per atom. Its total magnetic moment is 3.0 μB/cell. For the formation energy from raw total energies, the calculation gives -2539 meV per atom.


No. 7
Entry from Alexandria via LeMat-Bulk: crystalline Ba2NpS2O2 at its relaxed geometry (GGA-PBE).

Geometry as extended XYZ:
```
7
Lattice="-2.228 2.228 8.269 2.228 -2.228 8.269 2.228 2.228 -8.269" Properties=species:S:1:pos:R:3 pbc="T T T"
Ba 0.000 0.000 2.312
Ba 0.000 0.000 14.226
Np 0.000 0.000 8.269
S 0.000 0.000 5.508
S 0.000 0.000 11.030
O 2.228 0.000 0.000
O 0.000 2.228 0.000
```

Properties
The calculation puts the total energy at -7.433 eV per atom. Its total magnetic moment is 3.0 μB/cell. For the formation energy from raw total energies, the calculation gives -2439 meV per atom.


No. 8
Entry from Alexandria via LeMat-Bulk: crystalline BaNpS2O8 at its relaxed geometry (GGA-PBE).

Geometry as extended XYZ:
```
12
Lattice="6.061 0.000 0.000 -3.030 5.249 0.000 0.000 0.000 7.255" Properties=species:S:1:pos:R:3 pbc="T T T"
Ba 0.000 0.000 0.000
Np 0.000 0.000 3.627
S 0.000 3.499 2.119
S 3.030 1.750 5.136
O 0.000 1.630 2.323
O -1.619 4.434 2.323
O 1.411 0.815 4.931
O 0.000 3.499 0.649
O 3.030 1.750 6.605
O 1.619 4.434 2.323
O 4.649 0.815 4.931
O 3.030 3.619 4.931
```

Properties
The calculation puts the total energy at -6.945 eV per atom. Its total magnetic moment is 1.0 μB/cell. For the formation energy from raw total energies, the calculation gives -1713 meV per atom.


No. 9
Entry from Alexandria via LeMat-Bulk: crystalline Ba3Np2S2O5 at its relaxed geometry (GGA-PBE).

Geometry as extended XYZ:
```
12
Lattice="-2.223 2.223 12.726 2.223 -2.223 12.726 2.223 2.223 -12.726" Properties=species:S:1:pos:R:3 pbc="T T T"
Ba 0.000 0.000 0.000
Ba 0.000 0.000 4.560
Ba 0.000 0.000 20.892
Np 0.000 0.000 10.546
Np 0.000 0.000 14.906
S 0.000 0.000 7.741
S 0.000 0.000 17.711
O 2.223 0.000 2.132
O 2.223 0.000 10.594
O 0.000 0.000 12.726
O 0.000 2.223 2.132
O 0.000 2.223 10.594
```

Properties
The calculation puts the total energy at -8.051 eV per atom. Its total magnetic moment is 6.0 μB/cell. For the formation energy from raw total energies, the calculation gives -2660 meV per atom.


No. 10
Entry from Alexandria via LeMat-Bulk: crystalline BaNpSbO6 at its relaxed geometry (GGA-PBE).

Geometry as extended XYZ:
```
9
Lattice="5.828 0.000 0.000 -2.914 5.047 0.000 0.000 0.000 5.579" Properties=species:S:1:pos:R:3 pbc="T T T"
Ba 0.000 0.000 0.000
Np 2.914 1.682 2.789
Sb 0.000 3.365 2.789
O 2.201 0.107 3.904
O 1.193 1.853 1.675
O 3.627 0.107 1.675
O 1.906 3.088 3.904
O 4.635 1.853 3.904
O 3.922 3.088 1.675
```

Properties
The calculation puts the total energy at -7.751 eV per atom. Its total magnetic moment is 0.0 μB/cell. For the formation energy from raw total energies, the calculation gives -2336 meV per atom.